1.
Entry from the Alexandria database: an optimized crystal structure of RbNbHg (PBE).

```
data_RbNbHg
_symmetry_space_group_name_H-M 'P 1'
_symmetry_Int_Tables_number 1
_cell_length_a 5.377
_cell_length_b 5.377
_cell_length_c 7.743
_cell_angle_alpha 90.00
_cell_angle_beta 90.00
_cell_angle_gamma 90.00
loop_
_symmetry_equiv_pos_as_xyz
'x,y,z'
loop_
_atom_site_label
_atom_site_fract_x
_atom_site_fract_y
_atom_site_fract_z
Rb1 0.250 0.250 0.135
Rb2 0.750 0.750 0.865
Nb1 0.250 0.250 0.586
Nb2 0.750 0.750 0.414
Hg1 0.250 0.750 0.500
Hg2 0.750 0.250 0.500
```

uncorrected energy = -17.3 eV per cell
crystal system = tetragonal
symmetry = No. 129
ρ = 5.62 g/cm3
ΔH_f (0 K) = 0.8967 eV/atom
offset from the most stable computed form = 642 meV/atom

***

2.
Entry from the Alexandria database: an optimized crystal structure of RbNbHg (PBE).

```
data_RbNbHg
_symmetry_space_group_name_H-M 'P 1'
_symmetry_Int_Tables_number 1
_cell_length_a 5.139
_cell_length_b 14.073
_cell_length_c 5.168
_cell_angle_alpha 90.00
_cell_angle_beta 90.00
_cell_angle_gamma 90.00
loop_
_symmetry_equiv_pos_as_xyz
'x,y,z'
loop_
_atom_site_label
_atom_site_fract_x
_atom_site_fract_y
_atom_site_fract_z
Rb1 0.000 0.219 0.250
Rb2 0.000 0.781 0.750
Rb3 0.500 0.281 0.750
Rb4 0.500 0.719 0.250
Nb1 0.000 0.500 0.000
Nb2 0.000 0.500 0.500
Nb3 0.500 0.000 0.000
Nb4 0.500 0.000 0.500
Hg1 0.000 0.054 0.750
Hg2 0.000 0.946 0.250
Hg3 0.500 0.446 0.250
Hg4 0.500 0.554 0.750
```

uncorrected energy = -39.3 eV per cell
crystal system = orthorhombic
symmetry = No. 63
ρ = 6.74 g/cm3
ΔH_f (0 K) = 0.5010 eV/atom
offset from the most stable computed form = 246 meV/atom

***

3.
Entry from the Alexandria database: an optimized crystal structure of RbNbHg (PBE).

```
data_RbNbHg
_symmetry_space_group_name_H-M 'P 1'
_symmetry_Int_Tables_number 1
_cell_length_a 5.406
_cell_length_b 5.406
_cell_length_c 6.144
_cell_angle_alpha 90.00
_cell_angle_beta 90.00
_cell_angle_gamma 120.00
loop_
_symmetry_equiv_pos_as_xyz
'x,y,z'
loop_
_atom_site_label
_atom_site_fract_x
_atom_site_fract_y
_atom_site_fract_z
Rb1 0.000 0.000 0.000
Rb2 0.000 0.000 0.500
Nb1 0.333 0.667 0.250
Nb2 0.667 0.333 0.750
Hg1 0.333 0.667 0.750
Hg2 0.667 0.333 0.250
```

uncorrected energy = -15.4 eV per cell
crystal system = hexagonal
symmetry = No. 194
ρ = 8.09 g/cm3
ΔH_f (0 K) = 1.2071 eV/atom
offset from the most stable computed form = 952 meV/atom

***

4.
Entry from the Alexandria database: an optimized crystal structure of RbNbHg (PBE).

```
data_RbNbHg
_symmetry_space_group_name_H-M 'P 1'
_symmetry_Int_Tables_number 1
_cell_length_a 5.509
_cell_length_b 5.509
_cell_length_c 3.021
_cell_angle_alpha 90.00
_cell_angle_beta 90.00
_cell_angle_gamma 120.00
loop_
_symmetry_equiv_pos_as_xyz
'x,y,z'
loop_
_atom_site_label
_atom_site_fract_x
_atom_site_fract_y
_atom_site_fract_z
Rb1 0.000 0.000 0.000
Nb1 0.667 0.333 0.500
Hg1 0.333 0.667 0.500
```

uncorrected energy = -7.9 eV per cell
crystal system = hexagonal
symmetry = No. 187
ρ = 7.93 g/cm3
ΔH_f (0 K) = 1.1379 eV/atom
offset from the most stable computed form = 883 meV/atom

***

Q: Which of these has the lowest offset from the most stable computed form?
A: number 2